No. 1
Pm4Pr15Sc: optimized geometry, PBE-GGA.

Cell lengths 5.2125, 5.2125, 25.9762 Å; angles 90.00, 90.00, 90.00 degrees
Closest atoms and distances in Å follow each position.
Fractional coordinates of all 20 atoms:
1 Pm 0.0000 0.0000 0.1012  12 Pr 3.69-3.70
2 Pm 0.0000 0.0000 0.3032  12 Pr 3.69-3.70
3 Pm 0.0000 0.0000 0.6968  12 Pr 3.69-3.70
4 Pm 0.0000 0.0000 0.8988  12 Pr 3.69-3.70
5 Pr 0.0000 0.5000 0.0000  8 Pr 3.69-3.70, 4 Pm 3.70
6 Pr 0.0000 0.5000 0.2022  8 Pr 3.69-3.70, 4 Pm 3.70
7 Pr 0.0000 0.5000 0.4041  2 Sc 3.61, 8 Pr 3.61-3.69, 2 Pm 3.70
8 Pr 0.0000 0.5000 0.5959  8 Pr 3.61-3.69, 2 Sc 3.61, 2 Pm 3.70
9 Pr 0.0000 0.5000 0.7978  8 Pr 3.69-3.70, 4 Pm 3.70
10 Pr 0.5000 0.0000 0.0000  8 Pr 3.69-3.70, 4 Pm 3.70
11 Pr 0.5000 0.0000 0.2022  8 Pr 3.69-3.70, 4 Pm 3.70
12 Pr 0.5000 0.0000 0.4041  2 Sc 3.61, 8 Pr 3.61-3.69, 2 Pm 3.70
13 Pr 0.5000 0.0000 0.5959  8 Pr 3.61-3.69, 2 Sc 3.61, 2 Pm 3.70
14 Pr 0.5000 0.0000 0.7978  8 Pr 3.69-3.70, 4 Pm 3.70
15 Pr 0.5000 0.5000 0.1010  4 Pm 3.69, 8 Pr 3.70
16 Pr 0.5000 0.5000 0.3033  4 Pm 3.69, 8 Pr 3.69-3.70
17 Pr 0.5000 0.5000 0.5000  8 Pr 3.61, 4 Sc 3.69
18 Pr 0.5000 0.5000 0.6967  4 Pm 3.69, 8 Pr 3.69-3.70
19 Pr 0.5000 0.5000 0.8990  4 Pm 3.69, 8 Pr 3.70
20 Sc 0.0000 0.0000 0.5000  12 Pr 3.61-3.69

Calculated values
Magnetization = 0.0 μB/f.u.
Energy of formation = 0.4 eV per formula unit
Space-group type = P4/mmm (123)

=====

No. 2
Pm3Pr7Sc: optimized geometry, PBE-GGA.

Cell lengths 8.6606, 8.6606, 8.6606 Å; angles 139.88, 96.82, 96.70 degrees
Closest atoms and distances in Å follow each position.
Fractional coordinates of all 11 atoms:
1 Pm 0.0000 0.0000 0.0000  4 Pr 3.27
2 Pm 0.2050 0.7050 0.5000  9 Pr 3.40-3.70, 2 Pm 3.79
3 Pm 0.7950 0.2950 0.5000  9 Pr 3.40-3.70, 2 Pm 3.79
4 Pr 0.0196 0.2107 0.8089  1 Pm 3.27, 3 Pr 3.39-3.50
5 Pr 0.2159 0.5000 0.7159  1 Sc 3.27, 2 Pm 3.43, 2 Pr 3.50
6 Pr 0.4019 0.2107 0.1911  1 Pm 3.27, 3 Pr 3.39-3.50
7 Pr 0.5000 0.0000 0.5000  2 Sc 2.97
8 Pr 0.5981 0.7893 0.8089  1 Pm 3.27, 3 Pr 3.39-3.50
9 Pr 0.7841 0.5000 0.2841  1 Sc 3.27, 2 Pm 3.43, 2 Pr 3.50
10 Pr 0.9804 0.7893 0.1911  1 Pm 3.27, 3 Pr 3.39-3.50
11 Sc 0.5000 0.5000 0.0000  4 Pr 2.97-3.27

Calculated values
Magnetization = 0.0 μB/f.u.
Energy of formation = 2.5 eV per formula unit
Space-group type = Immm (71)

=====

No. 3
Pm12Pr7Sc: optimized geometry, PBE-GGA.

Cell lengths 8.8973, 8.8973, 8.8973 Å; angles 92.43, 92.43, 92.43 degrees
Closest atoms and distances in Å follow each position.
Fractional coordinates of all 20 atoms:
1 Pm 0.0470 0.3402 0.9460  2 Pr 3.10-3.45, 1 Pm 3.12
2 Pm 0.0540 0.9530 0.6598  2 Pr 3.10-3.45, 1 Pm 3.12
3 Pm 0.2113 0.7583 0.3581  4 Pm 3.50-3.57, 5 Pr 3.51-3.87, 1 Sc 3.73
4 Pm 0.2417 0.6419 0.7887  4 Pm 3.50-3.57, 5 Pr 3.51-3.87, 1 Sc 3.73
5 Pm 0.3402 0.9460 0.0470  2 Pr 3.10-3.45, 1 Pm 3.12
6 Pm 0.3581 0.2113 0.7583  4 Pm 3.50-3.57, 5 Pr 3.51-3.87, 1 Sc 3.73
7 Pm 0.6419 0.7887 0.2417  4 Pm 3.50-3.57, 5 Pr 3.51-3.87, 1 Sc 3.73
8 Pm 0.6598 0.0540 0.9530  2 Pr 3.10-3.45, 1 Pm 3.12
9 Pm 0.7583 0.3581 0.2113  4 Pm 3.50-3.57, 5 Pr 3.51-3.87, 1 Sc 3.73
10 Pm 0.7887 0.2416 0.6419  4 Pm 3.50-3.57, 5 Pr 3.51-3.87, 1 Sc 3.73
11 Pm 0.9460 0.0470 0.3402  2 Pr 3.10-3.45, 1 Pm 3.12
12 Pm 0.9530 0.6598 0.0540  2 Pr 3.10-3.45, 1 Pm 3.12
13 Pr 0.0000 0.0000 0.0000  6 Pm 3.10
14 Pr 0.1338 0.3835 0.4495  3 Pr 3.35-3.71, 1 Sc 3.38, 3 Pm 3.45-3.75
15 Pr 0.3835 0.4495 0.1338  3 Pr 3.35-3.71, 1 Sc 3.38, 3 Pm 3.45-3.75
16 Pr 0.4495 0.1338 0.3835  3 Pr 3.35-3.71, 1 Sc 3.38, 3 Pm 3.45-3.75
17 Pr 0.5505 0.8662 0.6165  3 Pr 3.35-3.71, 1 Sc 3.38, 3 Pm 3.45-3.75
18 Pr 0.6165 0.5505 0.8662  3 Pr 3.35-3.71, 1 Sc 3.38, 3 Pm 3.45-3.75
19 Pr 0.8662 0.6165 0.5505  3 Pr 3.35-3.71, 1 Sc 3.38, 3 Pm 3.45-3.75
20 Sc 0.5000 0.5000 0.5000  6 Pr 3.38, 6 Pm 3.73

Calculated values
Magnetization = 0.0 μB/f.u.
Energy of formation = 4.5 eV per formula unit
Space-group type = R-3 (148)

=====

No. 4
Pm7Pr12Sc: optimized geometry, PBE-GGA.

Cell lengths 11.2585, 11.2585, 11.2585 Å; angles 115.94, 115.94, 115.94 degrees
Closest atoms and distances in Å follow each position.
Fractional coordinates of all 20 atoms:
1 Pm 0.0000 0.0000 0.0000  2 Sc 3.45, 6 Pm 3.48
2 Pm 0.1403 0.4371 0.2993  1 Sc 3.18, 3 Pr 3.23-3.52, 1 Pm 3.48
3 Pm 0.2993 0.1403 0.4371  1 Sc 3.18, 3 Pr 3.23-3.52, 1 Pm 3.48
4 Pm 0.4371 0.2993 0.1403  1 Sc 3.18, 3 Pr 3.23-3.52, 1 Pm 3.48
5 Pm 0.5629 0.7007 0.8597  1 Sc 3.18, 3 Pr 3.23-3.52, 1 Pm 3.48
6 Pm 0.7007 0.8597 0.5629  1 Sc 3.18, 3 Pr 3.23-3.52, 1 Pm 3.48
7 Pm 0.8597 0.5629 0.7007  1 Sc 3.18, 3 Pr 3.23-3.52, 1 Pm 3.48
8 Pr 0.0125 0.7991 0.5892  3 Pr 3.24-3.52, 2 Pm 3.52-3.61
9 Pr 0.2009 0.4108 0.9875  3 Pr 3.24-3.52, 2 Pm 3.52-3.61
10 Pr 0.2263 0.7504 0.2987  2 Pm 3.23-3.48, 3 Pr 3.24-3.52
11 Pr 0.2496 0.7013 0.7737  2 Pm 3.23-3.48, 3 Pr 3.24-3.52
12 Pr 0.2987 0.2263 0.7504  2 Pm 3.23-3.48, 3 Pr 3.24-3.52
13 Pr 0.4108 0.9875 0.2009  3 Pr 3.24-3.52, 2 Pm 3.52-3.61
14 Pr 0.5892 0.0125 0.7991  3 Pr 3.24-3.52, 2 Pm 3.52-3.61
15 Pr 0.7013 0.7737 0.2496  2 Pm 3.23-3.48, 3 Pr 3.24-3.52
16 Pr 0.7504 0.2987 0.2263  2 Pm 3.23-3.48, 3 Pr 3.24-3.52
17 Pr 0.7737 0.2496 0.7013  2 Pm 3.23-3.48, 3 Pr 3.24-3.52
18 Pr 0.7991 0.5892 0.0125  3 Pr 3.24-3.52, 2 Pm 3.52-3.61
19 Pr 0.9875 0.2009 0.4108  3 Pr 3.24-3.52, 2 Pm 3.52-3.61
20 Sc 0.5000 0.5000 0.5000  8 Pm 3.18-3.45

Calculated values
Magnetization = 0.0 μB/f.u.
Energy of formation = 5.0 eV per formula unit
Space-group type = R-3 (148)

=====

No. 5
Pm4PrSc4: optimized geometry, PBE-GGA.

Cell lengths 7.8015, 7.8015, 7.8015 Å; angles 95.62, 95.62, 143.54 degrees
Closest atoms and distances in Å follow each position.
Fractional coordinates of all 9 atoms:
1 Pm 0.0000 0.3274 0.3274  1 Pr 3.43, 6 Sc 3.44-3.48, 5 Pm 3.54-3.62
2 Pm 0.0000 0.6726 0.6726  1 Pr 3.43, 6 Sc 3.44-3.48, 5 Pm 3.54-3.62
3 Pm 0.3274 0.0000 0.3274  1 Pr 3.43, 6 Sc 3.44-3.48, 5 Pm 3.54-3.62
4 Pm 0.6726 0.0000 0.6726  1 Pr 3.43, 6 Sc 3.44-3.48, 5 Pm 3.54-3.62
5 Pr 0.0000 0.0000 0.0000  4 Pm 3.43, 8 Sc 3.48
6 Sc 0.3323 0.3323 0.6647  6 Pm 3.44-3.48, 4 Sc 3.45-3.51, 2 Pr 3.48
7 Sc 0.3323 0.6677 0.0000  6 Pm 3.44-3.48, 4 Sc 3.45-3.51, 2 Pr 3.48
8 Sc 0.6677 0.3323 0.0000  6 Pm 3.44-3.48, 4 Sc 3.45-3.51, 2 Pr 3.48
9 Sc 0.6677 0.6677 0.3353  6 Pm 3.44-3.48, 4 Sc 3.45-3.51, 2 Pr 3.48

Calculated values
Magnetization = 0.0 μB/f.u.
Energy of formation = 0.6 eV per formula unit
Space-group type = I4/mmm (139)

=====

No. 6
Pm4Pr5Sc: optimized geometry, PBE-GGA.

Cell lengths 3.6795, 3.6795, 25.3854 Å; angles 90.00, 90.00, 90.00 degrees
Closest atoms and distances in Å follow each position.
Fractional coordinates of all 10 atoms:
1 Pm 0.0000 0.0000 0.1026  4 Pm 3.68, 8 Pr 3.68
2 Pm 0.0000 0.0000 0.3079  8 Pr 3.67-3.68, 4 Pm 3.68
3 Pm 0.0000 0.0000 0.6921  8 Pr 3.67-3.68, 4 Pm 3.68
4 Pm 0.0000 0.0000 0.8974  4 Pm 3.68, 8 Pr 3.68
5 Pr 0.5000 0.5000 0.0000  4 Pr 3.68, 8 Pm 3.68
6 Pr 0.5000 0.5000 0.2053  4 Pr 3.68, 8 Pm 3.68
7 Pr 0.5000 0.5000 0.4099  4 Sc 3.46, 4 Pm 3.67, 4 Pr 3.68
8 Pr 0.5000 0.5000 0.5901  4 Sc 3.46, 4 Pm 3.67, 4 Pr 3.68
9 Pr 0.5000 0.5000 0.7947  4 Pr 3.68, 8 Pm 3.68
10 Sc 0.0000 0.0000 0.5000  8 Pr 3.46, 4 Sc 3.68

Calculated values
Magnetization = 0.0 μB/f.u.
Energy of formation = 0.3 eV per formula unit
Space-group type = P4/mmm (123)

=====

No. 7
Pm3PrSc3: optimized geometry, PBE-GGA.

Cell lengths 8.6524, 8.6524, 8.6524 Å; angles 58.40, 58.40, 58.40 degrees
Closest atoms and distances in Å follow each position.
Fractional coordinates of all 14 atoms:
1 Pm 0.0682 0.5717 0.2171  4 Sc 3.27-3.54, 2 Pm 3.51, 2 Pr 3.56-3.66
2 Pm 0.2171 0.0682 0.5717  4 Sc 3.27-3.54, 2 Pm 3.51, 2 Pr 3.56-3.66
3 Pm 0.4283 0.7829 0.9318  4 Sc 3.27-3.54, 2 Pm 3.51, 2 Pr 3.56-3.66
4 Pm 0.5717 0.2171 0.0682  4 Sc 3.27-3.54, 2 Pm 3.51, 2 Pr 3.56-3.66
5 Pm 0.7829 0.9318 0.4283  4 Sc 3.27-3.54, 2 Pm 3.51, 2 Pr 3.56-3.66
6 Pm 0.9318 0.4283 0.7829  4 Sc 3.27-3.54, 2 Pm 3.51, 2 Pr 3.56-3.66
7 Pr 0.1543 0.1543 0.1543  6 Sc 3.50-3.72, 6 Pm 3.56-3.66
8 Pr 0.8457 0.8457 0.8457  6 Sc 3.50-3.72, 6 Pm 3.56-3.66
9 Sc 0.2253 0.6659 0.4393  4 Sc 3.06-3.22, 2 Pm 3.27-3.30
10 Sc 0.3341 0.5607 0.7747  4 Sc 3.06-3.22, 2 Pm 3.27-3.30
11 Sc 0.4393 0.2253 0.6659  4 Sc 3.06-3.22, 2 Pm 3.27-3.30
12 Sc 0.5607 0.7747 0.3341  4 Sc 3.06-3.22, 2 Pm 3.27-3.30
13 Sc 0.6659 0.4393 0.2253  4 Sc 3.06-3.22, 2 Pm 3.27-3.30
14 Sc 0.7747 0.3341 0.5607  4 Sc 3.06-3.22, 2 Pm 3.27-3.30

Calculated values
Magnetization = 0.0 μB/f.u.
Energy of formation = 1.3 eV per formula unit
Space-group type = R-3 (148)

=====

No. 8
PmPr4Sc3: optimized geometry, PBE-GGA.

Cell lengths 13.8722, 13.8722, 5.7462 Å; angles 93.83, 93.83, 14.42 degrees
Closest atoms and distances in Å follow each position.
Fractional coordinates of all 8 atoms:
1 Pm 0.0000 0.0000 0.0000  4 Sc 3.36, 2 Pm 3.48
2 Pr 0.1007 0.1007 0.5325  4 Sc 3.27-3.38, 2 Pr 3.48
3 Pr 0.1893 0.1893 0.0619  5 Sc 3.37-3.45, 4 Pr 3.48-3.77
4 Pr 0.8107 0.8107 0.9381  5 Sc 3.37-3.45, 4 Pr 3.48-3.77
5 Pr 0.8993 0.8993 0.4675  4 Sc 3.27-3.38, 2 Pr 3.48
6 Sc 0.2938 0.2938 0.4287  4 Sc 3.13-3.48, 7 Pr 3.37-3.45
7 Sc 0.5000 0.5000 0.5000  4 Pr 3.27, 4 Pm 3.36, 2 Sc 3.48
8 Sc 0.7062 0.7062 0.5713  4 Sc 3.13-3.48, 7 Pr 3.37-3.45

Calculated values
Magnetization = 0.0 μB/f.u.
Energy of formation = 2.2 eV per formula unit
Space-group type = C2/m (12)

=====

Please write out number 7 again, unchanged.
Pm3PrSc3: optimized geometry, PBE-GGA.

Cell lengths 8.6524, 8.6524, 8.6524 Å; angles 58.40, 58.40, 58.40 degrees
Closest atoms and distances in Å follow each position.
Fractional coordinates of all 14 atoms:
1 Pm 0.0682 0.5717 0.2171  4 Sc 3.27-3.54, 2 Pm 3.51, 2 Pr 3.56-3.66
2 Pm 0.2171 0.0682 0.5717  4 Sc 3.27-3.54, 2 Pm 3.51, 2 Pr 3.56-3.66
3 Pm 0.4283 0.7829 0.9318  4 Sc 3.27-3.54, 2 Pm 3.51, 2 Pr 3.56-3.66
4 Pm 0.5717 0.2171 0.0682  4 Sc 3.27-3.54, 2 Pm 3.51, 2 Pr 3.56-3.66
5 Pm 0.7829 0.9318 0.4283  4 Sc 3.27-3.54, 2 Pm 3.51, 2 Pr 3.56-3.66
6 Pm 0.9318 0.4283 0.7829  4 Sc 3.27-3.54, 2 Pm 3.51, 2 Pr 3.56-3.66
7 Pr 0.1543 0.1543 0.1543  6 Sc 3.50-3.72, 6 Pm 3.56-3.66
8 Pr 0.8457 0.8457 0.8457  6 Sc 3.50-3.72, 6 Pm 3.56-3.66
9 Sc 0.2253 0.6659 0.4393  4 Sc 3.06-3.22, 2 Pm 3.27-3.30
10 Sc 0.3341 0.5607 0.7747  4 Sc 3.06-3.22, 2 Pm 3.27-3.30
11 Sc 0.4393 0.2253 0.6659  4 Sc 3.06-3.22, 2 Pm 3.27-3.30
12 Sc 0.5607 0.7747 0.3341  4 Sc 3.06-3.22, 2 Pm 3.27-3.30
13 Sc 0.6659 0.4393 0.2253  4 Sc 3.06-3.22, 2 Pm 3.27-3.30
14 Sc 0.7747 0.3341 0.5607  4 Sc 3.06-3.22, 2 Pm 3.27-3.30

Calculated values
Magnetization = 0.0 μB/f.u.
Energy of formation = 1.3 eV per formula unit
Space-group type = R-3 (148)

=====

Question: Which formula does entry 2 have?
Answer: Pm3Pr7Sc